Pu2GePt6 | PBE | optimized geometry

Properties
SG: C2/m, No. 12

Cell: 5.6388 5.6118 6.3074 Å, 78.25 90.00 120.16°
With the nearest neighbours (Å) after each atom.
Sites, in units of the cell vectors:
Pt: 0.3899 0.2670 0.6848  1 Ge 2.55, 4 Pt 2.74-2.84
Pt: 0.1235 0.2469 0.3039  1 Ge 2.49, 2 Pt 2.74
Pt: 0.8765 0.7531 0.6961  1 Ge 2.49, 2 Pt 2.74
Pt: 0.8771 0.2670 0.6848  1 Ge 2.55, 4 Pt 2.74-2.84
Pt: 0.1229 0.7330 0.3152  1 Ge 2.55, 4 Pt 2.74-2.84
Pt: 0.6101 0.7330 0.3152  1 Ge 2.55, 4 Pt 2.74-2.84
Pu: 0.3548 0.7095 0.8633  9 Pt 3.00-3.19, 3 Ge 3.35
Pu: 0.6452 0.2905 0.1367  9 Pt 3.00-3.19, 3 Ge 3.35
Ge: 0.0000 0.0000 0.0000  6 Pt 2.49-2.55

PuGe2Pt | PBE | optimized geometry

Properties
SG: P4/mmm, No. 123

Cell: 4.2127 4.2561 4.2561 Å, 90.00 90.00 90.00°
With the nearest neighbours (Å) after each atom.
Sites, in units of the cell vectors:
Ge: 0.0000 0.0000 0.5000  4 Pu 2.99, 4 Pt 2.99, 4 Ge 3.01
Ge: 0.0000 0.5000 0.0000  4 Pu 2.99, 4 Pt 2.99, 4 Ge 3.01
Pt: 0.5000 0.0000 0.0000  8 Ge 2.99, 4 Pu 3.01
Pu: 0.5000 0.5000 0.5000  8 Ge 2.99, 4 Pt 3.01

Pu8Ge3Pt | PBE | optimized geometry

Properties
SG: Cm, No. 8

Cell: 8.4897 6.9133 7.2191 Å, 64.02 82.14 122.86°
With the nearest neighbours (Å) after each atom.
Sites, in units of the cell vectors:
Pu: 0.2628 0.0000 0.2082  4 Pu 2.41-2.52
Pu: 0.5451 0.6377 0.3737  3 Ge 3.02-3.26, 3 Pu 3.10-3.32, 1 Pt 3.30
Pu: 0.3087 0.4308 0.9314  1 Pu 2.52, 1 Pt 2.80
Pu: 0.9074 0.3623 0.0114  3 Ge 3.02-3.26, 3 Pu 3.10-3.32, 1 Pt 3.30
Pu: 0.7179 0.0000 0.7519  1 Pt 2.76, 3 Pu 2.95, 3 Ge 2.96-3.00
Pu: 0.3715 0.0000 0.8689  1 Pu 2.50
Pu: 0.1560 0.0000 0.5358  1 Pu 2.41
Pu: 0.8779 0.5692 0.3621  1 Pu 2.52, 1 Pt 2.80
Ge: 0.7005 0.5478 0.7688  7 Pu 2.84-3.03
Ge: 0.1528 0.4522 0.3165  7 Pu 2.84-3.03
Ge: 0.5030 0.0000 0.4613  8 Pu 2.92-3.07
Pt: 0.9966 0.0000 0.9101  4 Pu 2.76-2.85

Pu3Ge2Pt | PBE | optimized geometry

Properties
SG: Pnma, No. 62

Cell: 4.3875 10.2981 12.0693 Å, 90.00 90.00 90.00°
With the nearest neighbours (Å) after each atom.
Sites, in units of the cell vectors:
Pu: 0.7500 0.9076 0.4529  1 Pt 2.89, 5 Ge 3.01-3.10, 2 Pu 3.12
Pu: 0.2500 0.7823 0.7356  5 Ge 2.95-3.17, 2 Pt 2.97
Pu: 0.2500 0.0924 0.5471  1 Pt 2.89, 5 Ge 3.01-3.10, 2 Pu 3.12
Pu: 0.7500 0.5924 0.9529  1 Pt 2.89, 5 Ge 3.01-3.10, 2 Pu 3.12
Pu: 0.2500 0.0622 0.8719  3 Pt 3.02, 5 Ge 3.11-3.23, 1 Pu 3.32
Pu: 0.7500 0.5622 0.6281  3 Pt 3.02, 5 Ge 3.11-3.23, 1 Pu 3.32
Pu: 0.7500 0.2823 0.7644  5 Ge 2.95-3.17, 2 Pt 2.97
Pu: 0.2500 0.7177 0.2356  5 Ge 2.95-3.17, 2 Pt 2.97
Pu: 0.2500 0.4378 0.3719  3 Pt 3.02, 5 Ge 3.11-3.23, 1 Pu 3.32
Pu: 0.2500 0.4076 0.0471  1 Pt 2.89, 5 Ge 3.01-3.10, 2 Pu 3.12
Pu: 0.7500 0.2177 0.2644  5 Ge 2.95-3.17, 2 Pt 2.97
Pu: 0.7500 0.9378 0.1281  3 Pt 3.02, 5 Ge 3.11-3.23, 1 Pu 3.32
Pt: 0.2500 0.3617 0.6136  3 Ge 2.63-2.69, 1 Pu 2.89
Pt: 0.7500 0.8617 0.8864  3 Ge 2.63-2.69, 1 Pu 2.89
Pt: 0.7500 0.6383 0.3864  3 Ge 2.63-2.69, 1 Pu 2.89
Pt: 0.2500 0.1383 0.1136  3 Ge 2.63-2.69, 1 Pu 2.89
Ge: 0.7500 0.2140 0.0019  2 Pt 2.69, 1 Pu 2.95
Ge: 0.2500 0.4931 0.8006  1 Pt 2.63
Ge: 0.7500 0.9931 0.6994  1 Pt 2.63
Ge: 0.2500 0.7140 0.4981  2 Pt 2.69, 1 Pu 2.95
Ge: 0.2500 0.0069 0.3006  1 Pt 2.63
Ge: 0.7500 0.5069 0.1994  1 Pt 2.63
Ge: 0.7500 0.2860 0.5019  2 Pt 2.69, 1 Pu 2.95
Ge: 0.2500 0.7860 0.9981  2 Pt 2.69, 1 Pu 2.95

Number 1: N(E_F) 2.53 states/eV per atom, calculated formation energy -0.709 eV/atom. Number 2: N(E_F) 2.90 states/eV per atom, calculated formation energy -0.431 eV/atom. Number 3: N(E_F) 3.21 states/eV per atom, calculated formation energy -0.140 eV/atom. Number 4: N(E_F) 4.95 states/eV per atom, calculated formation energy -0.525 eV/atom.